1.
LiPm2TiPd6 | PBE | relaxed

```
LiPm2TiPd6
1.0
7.892 -0.013 1.491
0.002 5.796 0.001
4.985 2.885 5.584
Li Pd Pm Ti
1 6 2 1
Direct
0.000 0.000 0.000 Li
0.756 0.751 0.497 Pd
0.250 0.244 0.003 Pd
0.244 0.249 0.503 Pd
0.751 0.249 0.997 Pd
0.750 0.756 0.997 Pd
0.249 0.751 0.003 Pd
0.790 0.210 0.578 Pm
0.210 0.790 0.422 Pm
0.500 0.500 0.000 Ti
```

The value obtained for the total energy is -55.2 eV for the cell shown. The value obtained for the formation energy is -45.78 kJ/mol of atoms. Its spin magnetization is 0.000 Bohr magnetons per cell. The value obtained for the calculated density is 7.7 g/cm³.

---

2.
LiPmTl2Pd4 | PBE | relaxed

```
LiPmTl2Pd4
1.0
4.730 0.000 0.000
2.365 4.096 0.000
2.365 1.365 7.871
Pd Tl Pm Li
4 2 1 1
Direct
0.875 0.875 0.376 Pd
0.611 0.611 0.167 Pd
0.125 0.125 0.624 Pd
0.389 0.389 0.833 Pd
0.755 0.755 0.736 Tl
0.245 0.245 0.264 Tl
0.000 0.000 0.000 Pm
0.500 0.500 0.500 Li
```

The value obtained for the total energy is -35.9 eV for the cell shown. The value obtained for the formation energy is -45.04 kJ/mol of atoms. Its spin magnetization is 0.000 Bohr magnetons per cell. The value obtained for the calculated density is 10.7 g/cm³.

---

3.
LiPmYPd | PBE | relaxed

```
LiPmYPd
1.0
5.105 0.000 0.000
2.553 4.421 0.000
2.553 1.474 4.169
Y Pd Pm Li
1 1 1 1
Direct
0.750 0.750 0.750 Y
0.500 0.500 0.500 Pd
0.250 0.250 0.250 Pm
0.000 0.000 0.000 Li
```

The value obtained for the total energy is -19.8 eV for the cell shown. The value obtained for the formation energy is -35.73 kJ/mol of atoms. Its spin magnetization is 0.000 Bohr magnetons per cell. The value obtained for the calculated density is 6.1 g/cm³.

---

4.
LiPm2Zn2Pd5 | PBE | relaxed

```
LiPm2Zn2Pd5
1.0
-1.528 1.531 -3.140
-8.002 -5.511 1.206
-4.055 7.074 5.421
Pd Pm Zn Li
10 4 4 2
Direct
0.500 0.796 0.934 Pd
0.500 0.566 0.704 Pd
0.500 0.704 0.434 Pd
0.500 0.204 0.066 Pd
0.500 0.434 0.296 Pd
0.500 0.500 0.000 Pd
0.500 0.066 0.796 Pd
0.500 0.296 0.566 Pd
0.500 0.934 0.204 Pd
0.500 0.000 0.500 Pd
0.000 0.678 0.178 Pm
0.000 0.178 0.322 Pm
0.000 0.322 0.822 Pm
0.000 0.822 0.678 Pm
0.000 0.119 0.619 Zn
0.000 0.881 0.381 Zn
0.000 0.381 0.119 Zn
0.000 0.619 0.881 Zn
0.000 0.000 0.000 Li
0.000 0.500 0.500 Li
```

The value obtained for the total energy is -91.8 eV for the cell shown. The value obtained for the formation energy is -57.59 kJ/mol of atoms. Its spin magnetization is 0.000 Bohr magnetons per cell. The value obtained for the calculated density is 8.7 g/cm³.

---

5.
Li2PmZnPd4 | PBE | relaxed

```
Li2PmZnPd4
1.0
-4.142 0.512 -1.314
-3.238 0.053 2.942
-1.698 8.132 1.238
Li Pd Pm Zn
2 4 1 1
Direct
0.762 0.762 0.713 Li
0.238 0.238 0.287 Li
0.872 0.872 0.385 Pd
0.395 0.395 0.816 Pd
0.605 0.605 0.184 Pd
0.128 0.128 0.615 Pd
0.000 0.000 0.000 Pm
0.500 0.500 0.500 Zn
```

The value obtained for the total energy is -35.2 eV for the cell shown. The value obtained for the formation energy is -54.75 kJ/mol of atoms. Its spin magnetization is 0.000 Bohr magnetons per cell. The value obtained for the calculated density is 8.1 g/cm³.

---

6.
Li2Pm2ZnPd5 | PBE | relaxed

```
Li2Pm2ZnPd5
1.0
3.738 0.000 0.000
0.000 9.568 0.000
0.000 0.000 9.568
Pd Pm Zn Li
10 4 2 4
Direct
0.500 0.296 0.564 Pd
0.500 0.064 0.796 Pd
0.500 0.204 0.064 Pd
0.500 0.436 0.296 Pd
0.500 0.564 0.704 Pd
0.500 0.796 0.936 Pd
0.500 0.500 0.000 Pd
0.500 0.936 0.204 Pd
0.500 0.704 0.436 Pd
0.500 0.000 0.500 Pd
0.000 0.180 0.320 Pm
0.000 0.320 0.820 Pm
0.000 0.820 0.680 Pm
0.000 0.680 0.180 Pm
0.000 0.500 0.500 Zn
0.000 0.000 0.000 Zn
0.000 0.381 0.119 Li
0.000 0.881 0.381 Li
0.000 0.619 0.881 Li
0.000 0.119 0.619 Li
```

The value obtained for the total energy is -93.3 eV for the cell shown. The value obtained for the formation energy is -58.79 kJ/mol of atoms. Its spin magnetization is 0.000 Bohr magnetons per cell. The value obtained for the calculated density is 8.7 g/cm³.

---

7.
LiPmZnPd | PBE | relaxed

```
LiPmZnPd
1.0
4.766 0.000 0.000
2.383 4.127 0.000
2.383 1.376 3.891
Zn Pm Pd Li
1 1 1 1
Direct
0.000 0.000 0.000 Zn
0.500 0.500 0.500 Pm
0.250 0.250 0.250 Pd
0.750 0.750 0.750 Li
```

The value obtained for the total energy is -14.7 eV for the cell shown. The value obtained for the formation energy is -38.45 kJ/mol of atoms. Its spin magnetization is 0.000 Bohr magnetons per cell. The value obtained for the calculated density is 7.0 g/cm³.

---

8.
LiPm2ZnPd6 | PBE | relaxed

```
LiPm2ZnPd6
1.0
8.729 -0.022 -0.133
-0.021 5.531 -0.028
4.457 2.789 3.799
Pd Li Pm Zn
6 1 2 1
Direct
0.576 0.752 0.493 Pd
0.799 0.302 0.896 Pd
0.197 0.193 0.109 Pd
0.803 0.807 0.891 Pd
0.201 0.698 0.104 Pd
0.424 0.248 0.507 Pd
0.000 0.000 0.000 Li
0.250 0.752 0.497 Pm
0.750 0.248 0.503 Pm
0.500 0.500 0.000 Zn
```

The value obtained for the total energy is -49.6 eV for the cell shown. The value obtained for the formation energy is -55.90 kJ/mol of atoms. Its spin magnetization is 0.000 Bohr magnetons per cell. The value obtained for the calculated density is 8.9 g/cm³.

---

9.
Li2PmZn2Pd2 | PBE | relaxed

```
Li2PmZn2Pd2
1.0
-3.179 2.747 1.273
-0.991 -4.112 -1.171
2.624 -0.430 7.479
Li Zn Pd Pm
2 2 2 1
Direct
0.143 0.285 0.427 Li
0.857 0.715 0.573 Li
0.568 0.136 0.708 Zn
0.432 0.864 0.292 Zn
0.256 0.511 0.770 Pd
0.744 0.489 0.230 Pd
0.000 0.000 0.000 Pm
```

The value obtained for the total energy is -25.1 eV for the cell shown. The value obtained for the formation energy is -49.06 kJ/mol of atoms. Its spin magnetization is 0.000 Bohr magnetons per cell. The value obtained for the calculated density is 6.6 g/cm³.

---

10.
LiPmZrPd | PBE | relaxed

```
LiPmZrPd
1.0
-2.231 -4.047 -1.768
1.005 -1.577 -4.581
2.593 -4.160 -0.672
Pd Pm Zr Li
1 1 1 1
Direct
0.500 0.500 0.500 Pd
0.250 0.250 0.250 Pm
0.750 0.750 0.750 Zr
0.000 0.000 0.000 Li
```

The value obtained for the total energy is -21.0 eV for the cell shown. The value obtained for the formation energy is -14.36 kJ/mol of atoms. Its spin magnetization is 0.975 Bohr magnetons per cell. The value obtained for the calculated density is 6.8 g/cm³.

---

11.
Li6Pr2Pd9 | PBE | relaxed

```
Li6Pr2Pd9
1.0
-4.484 2.884 -1.367
2.438 -3.229 -3.730
-6.923 -9.152 3.399
Li Pd Pr
6 9 2
Direct
0.667 0.333 0.000 Li
0.333 0.667 0.000 Li
0.333 0.667 0.340 Li
0.667 0.333 0.660 Li
0.333 0.667 0.660 Li
0.667 0.333 0.340 Li
0.500 0.000 0.821 Pd
0.500 0.000 0.179 Pd
0.500 0.500 0.500 Pd
0.500 0.000 0.500 Pd
0.000 0.500 0.500 Pd
0.500 0.500 0.821 Pd
0.500 0.500 0.179 Pd
0.000 0.500 0.821 Pd
0.000 0.500 0.179 Pd
0.000 0.000 0.311 Pr
0.000 0.000 0.689 Pr
```

The value obtained for the total energy is -75.0 eV for the cell shown. The value obtained for the formation energy is -40.85 kJ/mol of atoms. Its spin magnetization is 0.000 Bohr magnetons per cell. The value obtained for the calculated density is 6.8 g/cm³.

---

12.
Li7Pr3Pd4 | PBE | relaxed

```
Li7Pr3Pd4
1.0
-1.697 3.180 2.157
3.998 -0.009 7.249
6.074 6.409 -0.579
Li Pd Pr
7 4 3
Direct
0.482 0.233 0.802 Li
0.834 0.404 0.928 Li
0.674 0.154 0.498 Li
0.000 0.000 0.000 Li
0.518 0.767 0.198 Li
0.166 0.596 0.072 Li
0.326 0.846 0.502 Li
0.658 0.433 0.251 Pd
0.106 0.106 0.682 Pd
0.894 0.894 0.318 Pd
0.342 0.567 0.749 Pd
0.000 0.500 0.500 Pr
0.298 0.175 0.229 Pr
0.702 0.825 0.771 Pr
```

The value obtained for the total energy is -54.1 eV for the cell shown. The value obtained for the formation energy is -38.75 kJ/mol of atoms. Its spin magnetization is 0.000 Bohr magnetons per cell. The value obtained for the calculated density is 5.3 g/cm³.

---

13.
LiPrPd4 | PBE | relaxed

```
LiPrPd4
1.0
-1.412 -3.574 -3.795
3.765 -2.147 -3.223
1.373 -5.196 0.539
Pr Pd Li
1 4 1
Direct
0.250 0.250 0.250 Pr
0.625 0.625 0.124 Pd
0.625 0.124 0.625 Pd
0.625 0.625 0.625 Pd
0.124 0.625 0.625 Pd
0.000 0.000 0.000 Li
```

The value obtained for the total energy is -31.1 eV for the cell shown. The value obtained for the formation energy is -58.25 kJ/mol of atoms. Its spin magnetization is 0.000 Bohr magnetons per cell. The value obtained for the calculated density is 8.5 g/cm³.

---

14.
LiPr3Pd12 | PBE | relaxed

```
LiPr3Pd12
1.0
-0.586 -0.658 4.111
-3.711 -1.801 -0.817
7.249 -14.362 -1.265
Pd Pr Li
12 3 1
Direct
0.500 0.000 0.108 Pd
0.500 0.000 0.631 Pd
0.500 0.000 0.369 Pd
0.500 0.000 0.892 Pd
0.500 0.500 0.000 Pd
0.500 0.500 0.762 Pd
0.500 0.500 0.500 Pd
0.000 0.500 0.108 Pd
0.500 0.500 0.238 Pd
0.000 0.500 0.369 Pd
0.000 0.500 0.892 Pd
0.000 0.500 0.631 Pd
0.000 0.000 0.500 Pr
0.000 0.000 0.238 Pr
0.000 0.000 0.762 Pr
0.000 0.000 0.000 Li
```

The value obtained for the total energy is -88.2 eV for the cell shown. The value obtained for the formation energy is -57.90 kJ/mol of atoms. Its spin magnetization is 0.000 Bohr magnetons per cell. The value obtained for the calculated density is 9.9 g/cm³.

---

15.
Li2PrPd2 | PBE | relaxed

```
Li2PrPd2
1.0
-1.377 -0.748 -3.599
3.391 -1.741 -0.935
-3.296 -4.303 4.296
Pr Li Pd
1 2 2
Direct
0.000 0.000 0.000 Pr
0.750 0.250 0.500 Li
0.250 0.750 0.500 Li
0.391 0.391 0.783 Pd
0.609 0.609 0.217 Pd
```

The value obtained for the total energy is -21.6 eV for the cell shown. The value obtained for the formation energy is -51.14 kJ/mol of atoms. Its spin magnetization is 0.000 Bohr magnetons per cell. The value obtained for the calculated density is 6.3 g/cm³.

---

16.
Li2Pr2Pd15 | PBE | relaxed

```
Li2Pr2Pd15
1.0
6.990 0.037 0.033
0.944 6.926 0.033
0.944 0.828 6.876
Pd Li Pr
15 2 2
Direct
0.159 0.657 0.657 Pd
0.657 0.159 0.657 Pd
0.000 0.311 0.689 Pd
0.000 0.689 0.311 Pd
0.841 0.343 0.343 Pd
0.500 0.000 0.000 Pd
0.689 0.311 0.000 Pd
0.311 0.000 0.689 Pd
0.311 0.689 0.000 Pd
0.343 0.343 0.841 Pd
0.689 0.000 0.311 Pd
0.000 0.500 0.000 Pd
0.657 0.657 0.159 Pd
0.343 0.841 0.343 Pd
0.000 0.000 0.500 Pd
0.906 0.906 0.906 Li
0.094 0.094 0.094 Li
0.657 0.657 0.657 Pr
0.343 0.343 0.343 Pr
```

The value obtained for the total energy is -99.2 eV for the cell shown. The value obtained for the formation energy is -40.25 kJ/mol of atoms. Its spin magnetization is 0.000 Bohr magnetons per cell. The value obtained for the calculated density is 9.5 g/cm³.

---

17.
LiPr2Pd6 | PBE | relaxed

```
LiPr2Pd6
1.0
-3.016 5.008 -1.893
-4.316 2.524 3.572
1.031 5.417 2.708
Pr Pd Li
2 6 1
Direct
0.250 0.250 0.250 Pr
0.750 0.750 0.750 Pr
0.231 0.231 0.769 Pd
0.231 0.769 0.769 Pd
0.769 0.769 0.231 Pd
0.231 0.769 0.231 Pd
0.769 0.231 0.231 Pd
0.769 0.231 0.769 Pd
0.500 0.500 0.500 Li
```

The value obtained for the total energy is -48.8 eV for the cell shown. The value obtained for the formation energy is -66.44 kJ/mol of atoms. Its spin magnetization is 0.000 Bohr magnetons per cell. The value obtained for the calculated density is 9.4 g/cm³. Its offset from the most stable computed form is 0.000 kcal/mol of atoms.

---

18.
Li2Pr3Pd4 | PBE | relaxed

```
Li2Pr3Pd4
1.0
-0.834 -2.261 3.583
1.617 -3.288 -4.300
8.066 1.960 3.114
Li Pd Pr
2 4 3
Direct
0.316 0.632 0.212 Li
0.684 0.368 0.788 Li
0.091 0.182 0.635 Pd
0.909 0.818 0.365 Pd
0.714 0.428 0.088 Pd
0.286 0.572 0.912 Pd
0.380 0.761 0.622 Pr
0.620 0.239 0.378 Pr
0.000 0.000 0.000 Pr
```

The value obtained for the total energy is -44.4 eV for the cell shown. The value obtained for the formation energy is -58.64 kJ/mol of atoms. Its spin magnetization is 0.000 Bohr magnetons per cell. The value obtained for the calculated density is 7.2 g/cm³.

---

19.
LiPr4Pd4 | PBE | relaxed

```
LiPr4Pd4
1.0
5.804 0.000 0.000
2.902 6.402 0.000
2.902 0.000 6.402
Pd Pr Li
4 4 1
Direct
0.088 0.177 0.647 Pd
0.912 0.823 0.353 Pd
0.735 0.353 0.177 Pd
0.265 0.647 0.823 Pd
0.415 0.785 0.386 Pr
0.585 0.215 0.614 Pr
0.800 0.614 0.785 Pr
0.200 0.386 0.215 Pr
0.000 0.000 0.000 Li
```

The value obtained for the total energy is -46.5 eV for the cell shown. The value obtained for the formation energy is -50.64 kJ/mol of atoms. Its spin magnetization is 0.000 Bohr magnetons per cell. The value obtained for the calculated density is 7.0 g/cm³.

---

20.
LiPr3Pd4 | PBE | relaxed

```
LiPr3Pd4
1.0
-3.429 -1.758 -1.826
0.810 -4.908 3.206
-3.144 6.236 4.879
Pr Pd Li
3 4 1
Direct
0.201 0.201 0.401 Pr
0.799 0.799 0.599 Pr
0.000 0.500 0.000 Pr
0.379 0.608 0.758 Pd
0.621 0.392 0.242 Pd
0.621 0.850 0.242 Pd
0.379 0.150 0.758 Pd
0.500 0.000 0.000 Li
```

The value obtained for the total energy is -41.9 eV for the cell shown. The value obtained for the formation energy is -58.29 kJ/mol of atoms. Its spin magnetization is 0.000 Bohr magnetons per cell. The value obtained for the calculated density is 7.3 g/cm³.